Entry 1:
The following is a DFT calculation (PBE) of an optimized crystal structure of Mg2InGeAs.

Results
Formation energy: 0.636 eV per atom
Crystal system: tetragonal
Distance to the lowest polymorph of the same formula: 0.401 eV/atom
Symmetry: No. 123

Cell lengths 5.2776, 5.2776, 5.0802 Å; angles 90.00, 90.00, 90.00 degrees
With the nearest neighbours (Å) after each atom.
Atoms (fractional coordinates):
1 Mg 0.0000 0.5000 0.0000  2 In 2.64
2 Mg 0.5000 0.0000 0.0000  2 In 2.64
3 In 0.0000 0.0000 0.0000  2 Ge 2.54, 4 Mg 2.64
4 Ge 0.0000 0.0000 0.5000  2 In 2.54
5 As 0.5000 0.5000 0.5000  8 Mg 3.66, 4 Ge 3.73


Entry 2:
The following is a DFT calculation (PBE) of an optimized crystal structure of Mg2InGeAs.

Results
Formation energy: 0.235 eV per atom
Crystal system: tetragonal
Distance to the lowest polymorph of the same formula: 0.000 eV/atom
Symmetry: No. 123

Cell lengths 4.9969, 4.9969, 5.2671 Å; angles 90.00, 90.00, 90.00 degrees
With the nearest neighbours (Å) after each atom.
Atoms (fractional coordinates):
1 Mg 0.0000 0.5000 0.0000  2 Ge 2.50
2 Mg 0.5000 0.0000 0.0000  2 Ge 2.50
3 In 0.0000 0.0000 0.5000  4 As 3.53, 8 Mg 3.63
4 Ge 0.5000 0.5000 0.0000  4 Mg 2.50, 2 As 2.63
5 As 0.5000 0.5000 0.5000  2 Ge 2.63


Entry 3:
The following is a DFT calculation (PBE) of an optimized crystal structure of In2Ni7GeAs2.

Results
Formation energy: -0.167 eV per atom
Crystal system: monoclinic
Symmetry: No. 12

Cell lengths 3.6384, 3.6384, 13.6462 Å; angles 93.75, 93.75, 89.86 degrees
With the nearest neighbours (Å) after each atom.
Atoms (fractional coordinates):
1 In 0.1109 0.1109 0.3998  5 Ni 2.54-2.83
2 In 0.8891 0.8891 0.6002  5 Ni 2.54-2.83
3 Ni 0.0346 0.5336 0.1302  2 As 2.35, 6 Ni 2.53-2.58, 2 Ge 2.53-2.54
4 Ni 0.3935 0.3935 0.5879  1 As 2.34, 4 In 2.54-2.62
5 Ni 0.4664 0.9654 0.8698  2 As 2.35, 6 Ni 2.53-2.58, 2 Ge 2.53-2.54
6 Ni 0.5000 0.5000 0.0000  8 Ni 2.53-2.55, 4 Ge 2.57-2.58
7 Ni 0.5336 0.0346 0.1302  2 As 2.35, 6 Ni 2.53-2.58, 2 Ge 2.53-2.54
8 Ni 0.6065 0.6065 0.4121  1 As 2.34, 4 In 2.54-2.62
9 Ni 0.9654 0.4664 0.8698  2 As 2.35, 6 Ni 2.53-2.58, 2 Ge 2.53-2.54
10 Ge 0.0000 0.0000 0.0000  12 Ni 2.53-2.58
11 As 0.4376 0.4376 0.7604  5 Ni 2.34-2.35
12 As 0.5624 0.5624 0.2396  5 Ni 2.34-2.35


Entry 4:
The following is a DFT calculation (PBE) of an optimized crystal structure of InGeAsP.

Results
Formation energy: -0.001 eV per atom
Crystal system: monoclinic
Symmetry: No. 8

Cell lengths 4.2433, 4.2433, 6.8707 Å; angles 106.48, 106.48, 62.71 degrees
With the nearest neighbours (Å) after each atom.
Atoms (fractional coordinates):
1 In 0.0000 0.0000 0.0000  1 P 2.59, 3 As 2.64-2.66
2 Ge 0.5028 0.5028 0.5290  1 As 2.51, 3 P 2.53
3 As 0.3856 0.3856 0.1425  1 Ge 2.51, 3 In 2.64-2.66
4 P 0.8683 0.8683 0.6002  3 Ge 2.53, 1 In 2.59


Entry 5:
The following is a DFT calculation (PBE) of an optimized crystal structure of InReGe2As.

Results
Formation energy: 1.546 eV per atom
Crystal system: tetragonal
Symmetry: No. 123

Cell lengths 4.9314, 4.9314, 5.1472 Å; angles 90.00, 90.00, 90.00 degrees
With the nearest neighbours (Å) after each atom.
Atoms (fractional coordinates):
1 In 0.0000 0.0000 0.0000  2 As 2.57
2 Re 0.5000 0.5000 0.0000  4 In 3.49, 8 Ge 3.56
3 Ge 0.0000 0.5000 0.5000  2 As 2.47
4 Ge 0.5000 0.0000 0.5000  2 As 2.47
5 As 0.0000 0.0000 0.5000  4 Ge 2.47, 2 In 2.57


Entry 6:
The following is a DFT calculation (PBE) of an optimized crystal structure of InGeAsS.

Results
Uncorrected formation energy: -0.259 eV/atom
Crystal system: trigonal
Symmetry: No. 156

Cell lengths 3.8734, 3.8734, 8.6588 Å; angles 90.00, 90.00, 120.00 degrees
With the nearest neighbours (Å) after each atom.
Atoms (fractional coordinates):
1 In 0.0000 0.0000 0.0000  3 S 2.54, 1 Ge 2.66
2 Ge 0.0000 0.0000 0.3073  3 As 2.51, 1 In 2.66
3 As 0.3333 0.6667 0.4380  3 Ge 2.51
4 S 0.6667 0.3333 0.8616  3 In 2.54


Entry 7:
The following is a DFT calculation (PBE) of an optimized crystal structure of InGeSb2As.

Results
Uncorrected formation energy: 0.939 eV/atom
Crystal system: tetragonal
Symmetry: No. 123

Cell lengths 5.6324, 5.6324, 5.0827 Å; angles 90.00, 90.00, 90.00 degrees
With the nearest neighbours (Å) after each atom.
Atoms (fractional coordinates):
1 In 0.0000 0.0000 0.0000  2 As 2.54, 4 Sb 2.82
2 Ge 0.5000 0.5000 0.5000  8 Sb 3.79, 4 As 3.98
3 Sb 0.0000 0.5000 0.0000  2 In 2.82
4 Sb 0.5000 0.0000 0.0000  2 In 2.82
5 As 0.0000 0.0000 0.5000  2 In 2.54


Entry 8:
The following is a DFT calculation (PBE) of an optimized crystal structure of InGe2SbAs.

Results
Uncorrected formation energy: 0.986 eV/atom
Crystal system: tetragonal
Symmetry: No. 123

Cell lengths 5.1715, 5.1715, 5.6285 Å; angles 90.00, 90.00, 90.00 degrees
With the nearest neighbours (Å) after each atom.
Atoms (fractional coordinates):
1 In 0.0000 0.0000 0.0000  4 Ge 2.59, 2 Sb 2.81
2 Ge 0.0000 0.5000 0.0000  2 In 2.59
3 Ge 0.5000 0.0000 0.0000  2 In 2.59
4 Sb 0.0000 0.0000 0.5000  2 In 2.81
5 As 0.5000 0.5000 0.5000  4 Sb 3.66, 8 Ge 3.82


Entry 9:
The following is a DFT calculation (PBE) of an optimized crystal structure of ZnIn2GeAs4.

Results
Formation energy: 0.070 eV per atom
Crystal system: tetragonal
Symmetry: No. 139

Cell lengths 6.8254, 6.8254, 6.8254 Å; angles 131.67, 131.67, 70.75 degrees
With the nearest neighbours (Å) after each atom.
Atoms (fractional coordinates):
1 Zn 0.0000 0.0000 0.0000  6 As 2.79-2.82
2 In 0.2500 0.7500 0.5000  6 As 2.78-2.79
3 In 0.7500 0.2500 0.5000  6 As 2.78-2.79
4 Ge 0.5000 0.5000 0.0000  6 As 2.75-2.79
5 As 0.0000 0.5000 0.5000  2 In 2.78, 2 Ge 2.79, 2 Zn 2.79
6 As 0.2531 0.2531 0.0000  1 Ge 2.75, 4 In 2.79, 1 Zn 2.82
7 As 0.5000 0.0000 0.5000  2 In 2.78, 2 Ge 2.79, 2 Zn 2.79
8 As 0.7469 0.7469 0.0000  1 Ge 2.75, 4 In 2.79, 1 Zn 2.82


Entry 10:
The following is a DFT calculation (PBE) of an optimized crystal structure of GeAsIr2.

Results
Formation energy: 0.068 eV per atom
Crystal system: tetragonal
Symmetry: No. 122

Cell lengths 6.7854, 6.7854, 6.7854 Å; angles 132.01, 132.01, 70.22 degrees
With the nearest neighbours (Å) after each atom.
Atoms (fractional coordinates):
1 Ge 0.0000 0.0000 0.0000  4 Ir 2.41
2 Ge 0.7500 0.2500 0.5000  4 Ir 2.41
3 As 0.2500 0.7500 0.5000  4 Ir 2.38
4 As 0.5000 0.5000 0.0000  4 Ir 2.38
5 Ir 0.1299 0.6250 0.0049  2 As 2.38, 2 Ge 2.41
6 Ir 0.3750 0.3799 0.5049  2 As 2.38, 2 Ge 2.41
7 Ir 0.6201 0.1250 0.9951  2 As 2.38, 2 Ge 2.41
8 Ir 0.8750 0.8701 0.4951  2 As 2.38, 2 Ge 2.41


Entry 11:
The following is a DFT calculation (PBE) of an optimized crystal structure of GeAsIr.

Results
Formation energy: -0.199 eV per atom
Crystal system: cubic
Distance to the lowest polymorph of the same formula: 0.167 eV/atom
Symmetry: No. 216

Cell lengths 4.2448, 4.2448, 4.2448 Å; angles 60.00, 60.00, 60.00 degrees
With the nearest neighbours (Å) after each atom.
Atoms (fractional coordinates):
1 Ge 0.0000 0.0000 0.0000  4 Ir 2.60
2 As 0.5000 0.5000 0.5000  4 Ir 2.60
3 Ir 0.2500 0.2500 0.2500  4 Ge 2.60, 4 As 2.60


Entry 12:
The following is a DFT calculation (PBE) of an optimized crystal structure of GeAs3Ir.

Results
Formation energy: 0.695 eV per atom
Crystal system: cubic
Distance to the lowest polymorph of the same formula: 0.000 eV/atom
Symmetry: No. 221

Cell lengths 4.8692, 4.8692, 4.8692 Å; angles 90.00, 90.00, 90.00 degrees
With the nearest neighbours (Å) after each atom.
Atoms (fractional coordinates):
1 Ge 0.0000 0.0000 0.0000  12 As 3.44
2 As 0.0000 0.5000 0.5000  2 Ir 2.43
3 As 0.5000 0.0000 0.5000  2 Ir 2.43
4 As 0.5000 0.5000 0.0000  2 Ir 2.43
5 Ir 0.5000 0.5000 0.5000  6 As 2.43